1.
A relaxed InReHg2 crystal. Source: the Alexandria database, functional GGA-PBE.

Lattice parameters (Å, degrees): 5.495 5.495 5.495 136.04 136.04 63.92
Atoms (fractional coordinates):
In: 0.000 0.000 0.000
Re: 0.250 0.750 0.500
Hg: 0.500 0.500 0.000
Hg: 0.750 0.250 0.500

* formation energy: 0.760 eV per atom
* total magnetic moment: 0.08 μB per atom

***

2.
A relaxed BaHo2Ga6 crystal. Source: the Alexandria database, functional GGA-PBE.

Lattice parameters (Å, degrees): 7.765 7.765 7.765 146.31 120.69 69.98
Atoms (fractional coordinates):
Ba: 0.000 0.000 0.000
Ho: 0.373 0.873 0.500
Ho: 0.627 0.127 0.500
Ga: 0.020 0.312 0.708
Ga: 0.334 0.500 0.834
Ga: 0.396 0.688 0.708
Ga: 0.604 0.312 0.292
Ga: 0.666 0.500 0.166
Ga: 0.980 0.688 0.292

* formation energy: -0.483 eV per atom
* total magnetic moment: 0.00 μB per atom

***

3.
A relaxed InSe crystal. Source: the Alexandria database, functional GGA-PBE.

Lattice parameters (Å, degrees): 6.188 6.188 5.227 108.25 108.25 39.07
Atoms (fractional coordinates):
In: 0.112 0.112 0.450
In: 0.888 0.888 0.550
Se: 0.338 0.338 0.828
Se: 0.662 0.662 0.172

* DFT total energy: -3.597 eV/atom
* total magnetic moment: 0.00 μB per atom

***

4.
A relaxed Rb6NaO crystal. Source: the Alexandria database, functional GGA-PBE.

Lattice parameters (Å, degrees): 4.723 10.878 10.878 77.08 90.00 90.00
Atoms (fractional coordinates):
Rb: 0.000 0.000 0.000
Rb: 0.000 0.068 0.407
Rb: 0.000 0.407 0.068
Rb: 0.500 0.320 0.668
Rb: 0.500 0.668 0.320
Rb: 0.500 0.746 0.746
Na: 0.500 0.156 0.156
O: 0.000 0.157 0.157

* DFT total energy: -1.856 eV/atom
* total magnetic moment: 0.00 μB per atom